[1]
A plane-wave DFT calculation with PBE was carried out for a geometry-optimized CeSnOs structure.

Output
For the total magnetic moment, the calculation gives 0.001 μB per formula unit. The total energy comes out at -0.2621 Ha/atom. As for the mass density: 11220 kg/m³. Its space group is I4/mmm, No. 139. As for the energy of formation: -0.08 eV per atom.

abc: 3.086 3.086 14.124
angles: 96.27 96.27 90.00
Fractional positions:
Os (0.276, 0.276, 0.552)
Os (0.724, 0.724, 0.448)
Ce (0.143, 0.143, 0.287)
Ce (0.857, 0.857, 0.713)
Sn (0.553, 0.553, 0.105)
Sn (0.447, 0.447, 0.895)


[2]
A plane-wave DFT calculation with PBE was carried out for a geometry-optimized Ce3SnOs structure.

Output
For the total magnetic moment, the calculation gives 2.359 μB per formula unit. The total energy comes out at -0.2513 Ha/atom. As for the mass density: 7818 kg/m³. Its space group is Pm-3m, No. 221. As for the relative energy among the computed polymorphs: 108 meV per atom. As for the energy of formation: -0.23 eV per atom.

abc: 5.370 5.370 5.370
angles: 90.00 90.00 90.00
Each line ends with the local moment (μB).
Fractional positions:
Os (0.000, 0.000, 0.000)  -0.06
Sn (0.500, 0.500, 0.500)  -0.05
Ce (0.000, 0.500, 0.000)  0.65
Ce (0.000, 0.000, 0.500)  0.65
Ce (0.500, 0.000, 0.000)  0.65


[3]
A plane-wave DFT calculation with PBE was carried out for a geometry-optimized Ce5Sn2Os2 structure.

Output
For the total magnetic moment, the calculation gives 2.876 μB per formula unit. The total energy comes out at -0.2558 Ha/atom. As for the mass density: 9109 kg/m³. Its space group is Ima2, No. 46. As for the energy of formation: -0.28 eV per atom.

abc: 9.287 6.306 9.943
angles: 108.49 117.84 90.00
Each line ends with the local moment (μB).
Fractional positions:
Ce (0.224, 0.628, 0.874)  0.57
Ce (0.776, 0.754, 0.126)  0.57
Ce (0.150, 0.128, 0.874)  0.57
Ce (0.850, 0.254, 0.126)  0.57
Ce (0.256, 0.149, 0.296)  0.39
Ce (0.744, 0.853, 0.704)  0.39
Ce (0.541, 0.649, 0.296)  0.39
Ce (0.459, 0.353, 0.704)  0.39
Ce (0.151, 0.757, 0.500)  0.42
Ce (0.849, 0.257, 0.500)  0.42
Sn (0.151, 0.591, 0.165)  -0.01
Sn (0.849, 0.426, 0.835)  -0.01
Sn (0.514, 0.091, 0.165)  -0.01
Sn (0.486, 0.926, 0.835)  -0.01
Os (0.000, 0.906, 0.000)  -0.09
Os (0.500, 0.406, 0.000)  -0.09
Os (0.131, 0.272, 0.500)  -0.07
Os (0.869, 0.772, 0.500)  -0.07


[4]
A plane-wave DFT calculation with PBE was carried out for a geometry-optimized Ce3SnOs structure.

Output
For the total magnetic moment, the calculation gives 1.422 μB per formula unit. The total energy comes out at -0.2553 Ha/atom. As for the mass density: 9163 kg/m³. Its space group is C2/m, No. 12. As for the relative energy among the computed polymorphs: 0 meV per atom. As for the energy of formation: -0.34 eV per atom.

abc: 4.699 5.911 10.530
angles: 80.85 90.00 66.58
Each line ends with the local moment (μB).
Fractional positions:
Ce (0.282, 0.827, 0.594)  0.55
Ce (0.498, 0.393, 0.360)  0.45
Ce (0.534, 0.321, 0.790)  0.55
Ce (0.318, 0.754, 0.024)  0.45
Ce (0.790, 0.809, 0.288)  0.24
Ce (0.026, 0.338, 0.095)  0.24
Sn (0.987, 0.416, 0.566)  -0.02
Sn (0.829, 0.731, 0.817)  -0.02
Os (0.665, 0.059, 0.032)  -0.07
Os (0.150, 0.089, 0.351)  -0.07


- Which value of total magnetic moment does entry 1 give?
  0.001 μB per formula unit


Please write out number 4 again, unchanged.
A plane-wave DFT calculation with PBE was carried out for a geometry-optimized Ce3SnOs structure.

Output
For the total magnetic moment, the calculation gives 1.422 μB per formula unit. The total energy comes out at -0.2553 Ha/atom. As for the mass density: 9163 kg/m³. Its space group is C2/m, No. 12. As for the relative energy among the computed polymorphs: 0 meV per atom. As for the energy of formation: -0.34 eV per atom.

abc: 4.699 5.911 10.530
angles: 80.85 90.00 66.58
Each line ends with the local moment (μB).
Fractional positions:
Ce (0.282, 0.827, 0.594)  0.55
Ce (0.498, 0.393, 0.360)  0.45
Ce (0.534, 0.321, 0.790)  0.55
Ce (0.318, 0.754, 0.024)  0.45
Ce (0.790, 0.809, 0.288)  0.24
Ce (0.026, 0.338, 0.095)  0.24
Sn (0.987, 0.416, 0.566)  -0.02
Sn (0.829, 0.731, 0.817)  -0.02
Os (0.665, 0.059, 0.032)  -0.07
Os (0.150, 0.089, 0.351)  -0.07